Entry 1:
# Ti2NO, relaxed, DFT PBE
data_Ti2NO
_symmetry_space_group_name_H-M 'P 1'
_symmetry_Int_Tables_number 1
_symmetry_space_group_name_Hall 'P 1'
_cell_length_a 2.9539
_cell_length_b 2.9539
_cell_length_c 15.6907
_cell_angle_alpha 90.00
_cell_angle_beta 90.00
_cell_angle_gamma 120.00
loop_
_atom_site_label
_atom_site_type_symbol
_atom_site_fract_x
_atom_site_fract_y
_atom_site_fract_z
Ti1 Ti 0.0000 0.0000 0.0000
Ti2 Ti 0.0000 0.0000 0.1827
Ti3 Ti 0.3333 0.6667 0.6667
Ti4 Ti 0.3333 0.6667 0.8493
Ti5 Ti 0.6667 0.3333 0.3333
Ti6 Ti 0.6667 0.3333 0.5160
N1 N 0.0000 0.0000 0.5915
N2 N 0.3333 0.6667 0.2582
N3 N 0.6667 0.3333 0.9249
O1 O 0.0000 0.0000 0.4208
O2 O 0.3333 0.6667 0.0874
O3 O 0.6667 0.3333 0.7541
# Distance to the lowest polymorph of the same formula: 0.0 meV/atom
# Symmetry: R3m (160)
# ΔE_f (raw): -2058.6 meV/atom

Entry 2:
# Ba2SrHg2, relaxed, DFT PBE
data_Ba2SrHg2
_symmetry_space_group_name_H-M 'P 1'
_symmetry_Int_Tables_number 1
_symmetry_space_group_name_Hall 'P 1'
_cell_length_a 5.8043
_cell_length_b 5.8043
_cell_length_c 13.1779
_cell_angle_alpha 90.00
_cell_angle_beta 90.00
_cell_angle_gamma 90.00
loop_
_atom_site_label
_atom_site_type_symbol
_atom_site_fract_x
_atom_site_fract_y
_atom_site_fract_z
Ba1 Ba 0.0000 0.5000 0.2500
Ba2 Ba 0.0000 0.5000 0.7500
Ba3 Ba 0.5000 0.0000 0.2500
Ba4 Ba 0.5000 0.0000 0.7500
Sr1 Sr 0.0000 0.0000 0.0000
Sr2 Sr 0.5000 0.5000 0.5000
Hg1 Hg 0.0000 0.0000 0.3925
Hg2 Hg 0.0000 0.0000 0.6075
Hg3 Hg 0.5000 0.5000 0.1075
Hg4 Hg 0.5000 0.5000 0.8925
# Distance to the lowest polymorph of the same formula: 156.4 meV/atom
# Energy relative to the elements: -1.30 eV per formula unit
# Symmetry: I4/mmm (139)

Entry 3:
# Ce2MgAs4Rh3, relaxed, DFT PBE
data_Ce2MgAs4Rh3
_symmetry_space_group_name_H-M 'P 1'
_symmetry_Int_Tables_number 1
_symmetry_space_group_name_Hall 'P 1'
_cell_length_a 4.2992
_cell_length_b 4.2992
_cell_length_c 10.3329
_cell_angle_alpha 90.00
_cell_angle_beta 90.00
_cell_angle_gamma 90.00
loop_
_atom_site_label
_atom_site_type_symbol
_atom_site_fract_x
_atom_site_fract_y
_atom_site_fract_z
Ce1 Ce 0.0000 0.5000 0.2347
Ce2 Ce 0.5000 0.0000 0.7653
Mg1 Mg 0.0000 0.0000 0.5000
As1 As 0.0000 0.0000 0.0000
As2 As 0.0000 0.5000 0.6466
As3 As 0.5000 0.0000 0.3534
As4 As 0.5000 0.5000 0.0000
Rh1 Rh 0.0000 0.5000 0.8837
Rh2 Rh 0.5000 0.0000 0.1163
Rh3 Rh 0.5000 0.5000 0.5000
# Energy relative to the elements: -8.84 eV per formula unit
# Symmetry: P-4m2 (115)

Entry 4:
# FeMo2Cl, relaxed, DFT PBE
data_FeMo2Cl
_symmetry_space_group_name_H-M 'P 1'
_symmetry_Int_Tables_number 1
_symmetry_space_group_name_Hall 'P 1'
_cell_length_a 5.3432
_cell_length_b 5.3432
_cell_length_c 10.6919
_cell_angle_alpha 90.00
_cell_angle_beta 90.00
_cell_angle_gamma 90.00
loop_
_atom_site_label
_atom_site_type_symbol
_atom_site_fract_x
_atom_site_fract_y
_atom_site_fract_z
Fe1 Fe 0.0000 0.0000 0.0000
Fe2 Fe 0.0000 0.5000 0.2500
Fe3 Fe 0.5000 0.0000 0.7500
Fe4 Fe 0.5000 0.5000 0.5000
Mo1 Mo 0.2270 0.2500 0.1250
Mo2 Mo 0.2500 0.7270 0.3750
Mo3 Mo 0.2500 0.7730 0.8750
Mo4 Mo 0.2730 0.2500 0.6250
Mo5 Mo 0.7270 0.7500 0.6250
Mo6 Mo 0.7500 0.2270 0.8750
Mo7 Mo 0.7500 0.2730 0.3750
Mo8 Mo 0.7730 0.7500 0.1250
Cl1 Cl 0.0000 0.0000 0.5000
Cl2 Cl 0.0000 0.5000 0.7500
Cl3 Cl 0.5000 0.0000 0.2500
Cl4 Cl 0.5000 0.5000 0.0000
# Distance to the lowest polymorph of the same formula: 669.8 meV/atom
# Symmetry: I-42d (122)
# ΔE_f (raw): 954.6 meV/atom

Entry 5:
# Pu2Ga3Au9, relaxed, DFT PBE
data_Pu2Ga3Au9
_symmetry_space_group_name_H-M 'P 1'
_symmetry_Int_Tables_number 1
_symmetry_space_group_name_Hall 'P 1'
_cell_length_a 8.1320
_cell_length_b 8.1320
_cell_length_c 10.7409
_cell_angle_alpha 112.30
_cell_angle_beta 112.30
_cell_angle_gamma 59.90
loop_
_atom_site_label
_atom_site_type_symbol
_atom_site_fract_x
_atom_site_fract_y
_atom_site_fract_z
Pu1 Pu 0.0837 0.2505 0.2465
Pu2 Pu 0.2505 0.0837 0.7465
Pu3 Pu 0.7495 0.9163 0.2535
Pu4 Pu 0.9163 0.7495 0.7535
Ga1 Ga 0.0000 0.5000 0.0000
Ga2 Ga 0.1351 0.6936 0.5073
Ga3 Ga 0.3064 0.8649 0.9927
Ga4 Ga 0.5000 0.0000 0.5000
Ga5 Ga 0.6936 0.1351 0.0073
Ga6 Ga 0.8649 0.3064 0.4927
Au1 Au 0.0321 0.8524 0.0861
Au2 Au 0.1476 0.9679 0.4139
Au3 Au 0.1922 0.3613 0.5729
Au4 Au 0.2023 0.5715 0.2614
Au5 Au 0.2998 0.4831 0.9315
Au6 Au 0.3613 0.1922 0.0729
Au7 Au 0.3621 0.6379 0.7500
Au8 Au 0.4285 0.7977 0.2386
Au9 Au 0.4831 0.2998 0.4315
Au10 Au 0.5169 0.7002 0.5685
Au11 Au 0.5715 0.2023 0.7614
Au12 Au 0.6379 0.3621 0.2500
Au13 Au 0.6387 0.8078 0.9271
Au14 Au 0.7002 0.5169 0.0685
Au15 Au 0.7977 0.4285 0.7386
Au16 Au 0.8078 0.6387 0.4271
Au17 Au 0.8524 0.0321 0.5861
Au18 Au 0.9679 0.1476 0.9139
# Energy relative to the elements: -4.65 eV per formula unit
# Symmetry: C2/c (15)

Entry 6:
# Tb4ScAu2, relaxed, DFT PBE
data_Tb4ScAu2
_symmetry_space_group_name_H-M 'P 1'
_symmetry_Int_Tables_number 1
_symmetry_space_group_name_Hall 'P 1'
_cell_length_a 9.0707
_cell_length_b 9.0707
_cell_length_c 9.0707
_cell_angle_alpha 33.42
_cell_angle_beta 33.42
_cell_angle_gamma 33.42
loop_
_atom_site_label
_atom_site_type_symbol
_atom_site_fract_x
_atom_site_fract_y
_atom_site_fract_z
Tb1 Tb 0.1244 0.1244 0.1244
Tb2 Tb 0.2844 0.2844 0.2844
Tb3 Tb 0.7156 0.7156 0.7156
Tb4 Tb 0.8756 0.8756 0.8756
Sc1 Sc 0.5000 0.5000 0.5000
Au1 Au 0.3968 0.3968 0.3968
Au2 Au 0.6032 0.6032 0.6032
# Energy relative to the elements: -1.90 eV per formula unit
# Symmetry: R-3m (166)

Entry 7:
# Pm3Si2Br3, relaxed, DFT PBE
data_Pm3Si2Br3
_symmetry_space_group_name_H-M 'P 1'
_symmetry_Int_Tables_number 1
_symmetry_space_group_name_Hall 'P 1'
_cell_length_a 9.0064
_cell_length_b 9.0064
_cell_length_c 5.7206
_cell_angle_alpha 90.00
_cell_angle_beta 90.00
_cell_angle_gamma 120.00
loop_
_atom_site_label
_atom_site_type_symbol
_atom_site_fract_x
_atom_site_fract_y
_atom_site_fract_z
Pm1 Pm 0.0000 0.3837 0.2500
Pm2 Pm 0.0000 0.6163 0.7500
Pm3 Pm 0.3837 0.0000 0.2500
Pm4 Pm 0.3837 0.3837 0.7500
Pm5 Pm 0.6163 0.0000 0.7500
Pm6 Pm 0.6163 0.6163 0.2500
Si1 Si 0.3333 0.6667 0.0000
Si2 Si 0.3333 0.6667 0.5000
Si3 Si 0.6667 0.3333 0.0000
Si4 Si 0.6667 0.3333 0.5000
Br1 Br 0.0000 0.2475 0.7500
Br2 Br 0.0000 0.7525 0.2500
Br3 Br 0.2475 0.0000 0.7500
Br4 Br 0.2475 0.2475 0.2500
Br5 Br 0.7525 0.0000 0.2500
Br6 Br 0.7525 0.7525 0.7500
# Symmetry: P6_3/mcm (193)
# ΔE_f (raw): -1152.5 meV/atom